Here is Ti6Sn2P after structural relaxation from Alexandria. Energies are from GGA-PBE.

Output
ΔE_f: -620 meV/atom

Unit cell a=7.1992 b=7.1992 c=3.5284 alpha=90.00 beta=90.00 gamma=120.00
With the nearest neighbours (Å) after each atom.
Fractional coordinates of all 9 atoms:
Ti 0.0000 0.3700 0.0000  1 P 2.66, 4 Sn 2.88, 4 Ti 2.93
Ti 0.0000 0.7619 0.5000  2 P 2.46
Ti 0.2381 0.2381 0.5000  2 P 2.46
Ti 0.3700 0.0000 0.0000  1 P 2.66, 4 Sn 2.88, 4 Ti 2.93
Ti 0.6300 0.6300 0.0000  1 P 2.66, 4 Sn 2.88, 4 Ti 2.93
Ti 0.7619 0.0000 0.5000  2 P 2.46
Sn 0.3333 0.6667 0.5000  9 Ti 2.81-2.88
Sn 0.6667 0.3333 0.5000  9 Ti 2.81-2.88
P 0.0000 0.0000 0.0000  9 Ti 2.46-2.66


Here is PaTiAlO6 after structural relaxation from Alexandria. Energies are from GGA-PBE.

Output
Formation energy without anion corrections: -3.22 eV/atom

Unit cell a=5.0176 b=5.0176 c=9.5803 alpha=90.00 beta=90.00 gamma=120.00
With the nearest neighbours (Å) after each atom.
Fractional coordinates of all 18 atoms:
Pa 0.0000 0.0000 0.0000  6 O 2.21
Pa 0.0000 0.0000 0.5000  6 O 2.21
Ti 0.3333 0.6667 0.2500  6 O 1.97
Ti 0.6667 0.3333 0.7500  6 O 1.97
Al 0.3333 0.6667 0.7500  6 O 1.92
Al 0.6667 0.3333 0.2500  6 O 1.92
O 0.0078 0.3566 0.6382  1 Al 1.92, 1 Ti 1.97
O 0.0078 0.6512 0.8618  1 Al 1.92, 1 Ti 1.97
O 0.3488 0.3566 0.8618  1 Al 1.92, 1 Ti 1.97
O 0.3488 0.9922 0.6382  1 Al 1.92, 1 Ti 1.97
O 0.3566 0.0078 0.1383  1 Al 1.92, 1 Ti 1.97
O 0.3566 0.3488 0.3618  1 Al 1.92, 1 Ti 1.97
O 0.6434 0.6512 0.6382  1 Al 1.92, 1 Ti 1.97
O 0.6434 0.9922 0.8618  1 Al 1.92, 1 Ti 1.97
O 0.6512 0.0078 0.3618  1 Al 1.92, 1 Ti 1.97
O 0.6512 0.6434 0.1383  1 Al 1.92, 1 Ti 1.97
O 0.9922 0.3488 0.1383  1 Al 1.92, 1 Ti 1.97
O 0.9922 0.6434 0.3618  1 Al 1.92, 1 Ti 1.97


Here is BeCr2Ir after structural relaxation from Alexandria. Energies are from GGA-PBE.

Output
ΔE_f: -141 meV/atom

Unit cell a=2.6177 b=3.7927 c=4.7214 alpha=90.00 beta=94.12 gamma=90.00
With the nearest neighbours (Å) after each atom.
Fractional coordinates of all 4 atoms:
Be 0.0000 0.0000 0.0000  2 Ir 2.36, 8 Cr 2.46-2.61, 2 Be 2.62
Cr 0.4712 0.5000 0.2224  1 Cr 2.12
Cr 0.5288 0.5000 0.7776  1 Cr 2.12
Ir 0.0000 0.0000 0.5000  2 Be 2.36, 2 Ir 2.62, 4 Cr 2.64